VASP calculation (PBE-GGA) on crystalline Tb2Pm6Y3Th at its relaxed geometry.

## Properties
ΔH_f (0 K) = 0.34 eV per formula unit
Total DFT energy (no corrections) = -5.35 eV/atom
Symmetry = C2/m, No. 12

Unit cell a=6.256 b=6.256 c=11.965 alpha=95.01 beta=95.01 gamma=119.96
Atoms (fractional coordinates):
Pm: 0.587 0.917 0.751
Pm: 0.083 0.413 0.249
Pm: 0.917 0.587 0.751
Pm: 0.246 0.246 0.751
Pm: 0.754 0.754 0.249
Pm: 0.413 0.083 0.249
Y: 0.833 0.167 0.500
Y: 0.500 0.500 0.500
Y: 0.167 0.833 0.500
Tb: 0.333 0.667 0.000
Tb: 0.667 0.333 0.000
Th: 0.000 0.000 0.000